An optimized crystal structure of TlCd6Cu6, computed with PBE.

abc: 5.290 9.308 9.375
angles: 90.00 90.00 90.00
Space group Immm (No. 71)
Asymmetric unit:
Tl (0.000, 0.000, 0.000)
Cd (0.000, 0.000, 0.335)
Cd (0.000, 0.320, 0.500)
Cd (0.000, 0.342, 0.000)
Cu (0.000, 0.500, 0.257)
Cu (0.250, 0.250, 0.250)

Its density of states at the Fermi level is 4.2 states/eV/f.u. The energy of formation is 5.2 kJ per mole of atoms. The magnetization is 0.0 Bohr magnetons per cell.